Entry from Alexandria via LeMat-Bulk: crystalline Li2GaTe at its relaxed geometry (GGA-PBE).

## Properties
- Total magnetization: 0.00 μB/atom
- Calculated density: 4.3 g/cm3
- Energy relative to the elements, uncorrected: -0.54 eV/atom
- ΔE to the lowest computed polymorph: 0 meV per atom

Structure (POSCAR):
```
Li2GaTe
1.0
4.488 0.000 0.000
0.000 4.488 0.000
0.000 0.000 4.055
Li Ga Te
2 1 1
direct
0.000 0.500 0.000
0.500 0.000 0.000
0.000 0.000 0.500
0.500 0.500 0.500
```